[1]
VASP calculation (GGA-PBE) on an optimized crystal structure of Pm2BeGa.

Cell lengths 5.0875, 5.0875, 5.0875 Å; angles 60.00, 60.00, 60.00 degrees
Last column: nearest neighbours and their distance in Å.
Fractional coordinates of all 4 atoms:
Pm: 0.7500 0.7500 0.7500  4 Ga 3.12, 4 Be 3.12
Pm: 0.2500 0.2500 0.2500  4 Be 3.12, 4 Ga 3.12
Be: 0.5000 0.5000 0.5000  8 Pm 3.12
Ga: 0.0000 0.0000 0.0000  8 Pm 3.12

Results
Polymorph energy (0 for the lowest one) (eV per atom): 0.013
Magnetic moment (μB per formula unit): 0.00
SG: Fm-3m
N(E_F) (states/eV/cell): 4.48
Total DFT energy (no corrections) (eV/cell): -16.960
ΔH_f (0 K) (eV per atom): -0.18

[2]
VASP calculation (GGA-PBE) on an optimized crystal structure of PmBeGa2.

Cell lengths 4.1459, 4.0361, 8.9499 Å; angles 103.03, 90.00, 90.00 degrees
Last column: nearest neighbours and their distance in Å.
Fractional coordinates of all 8 atoms:
Be: 0.2500 0.6723 0.3447  5 Ga 2.32-2.47
Be: 0.7500 0.3277 0.6553  5 Ga 2.32-2.47
Ga: 0.7500 0.7494 0.4988  4 Be 2.44-2.47
Ga: 0.7500 0.4606 0.9212  1 Be 2.32, 2 Ga 2.49
Ga: 0.2500 0.5394 0.0788  1 Be 2.32, 2 Ga 2.49
Ga: 0.2500 0.2506 0.5012  4 Be 2.44-2.47
Pm: 0.7500 0.1089 0.2178  4 Be 3.10, 10 Ga 3.14-3.28
Pm: 0.2500 0.8911 0.7822  4 Be 3.10, 10 Ga 3.14-3.28

Results
Polymorph energy (0 for the lowest one) (eV per atom): 0.000
Magnetic moment (μB per formula unit): 0.00
SG: Cmcm
N(E_F) (states/eV/cell): 3.45
Total DFT energy (no corrections) (eV/cell): -33.051
ΔH_f (0 K) (eV per atom): -0.50